# 1
# CeErHgPd GGA-PBE optimized geometry
# Crystal system = cubic
# Formation energy = -0.516 eV/atom
# Total moment = 0.93 μB/f.u.
data_CeErHgPd
_space_group_name_H-M_alt 'F -4 3 m'
_space_group_IT_number 216
_space_group_name_Hall 'F -4 2 3'
_cell_length_a 7.3044
_cell_length_b 7.3044
_cell_length_c 7.3044
_cell_angle_alpha 90.00
_cell_angle_beta 90.00
_cell_angle_gamma 90.00
loop_
_atom_site_label
_atom_site_type_symbol
_atom_site_fract_x
_atom_site_fract_y
_atom_site_fract_z
Ce1 Ce 0.0000 0.0000 0.0000
Er1 Er 0.0000 0.0000 0.5000
Hg1 Hg 0.2500 0.2500 0.7500
Pd1 Pd 0.2500 0.2500 0.2500

# 2
# CePrEr2Hg4 GGA-PBE optimized geometry
# Crystal system = trigonal
# Formation energy = -0.413 eV/atom
# Total moment = 1.96 μB/f.u.
data_CePrEr2Hg4
_space_group_name_H-M_alt 'R -3 m'
_space_group_IT_number 166
_space_group_name_Hall '-R 3 2"'
_cell_length_a 5.3425
_cell_length_b 5.3425
_cell_length_c 26.1847
_cell_angle_alpha 90.00
_cell_angle_beta 90.00
_cell_angle_gamma 120.00
loop_
_atom_site_label
_atom_site_type_symbol
_atom_site_fract_x
_atom_site_fract_y
_atom_site_fract_z
Ce1 Ce 0.0000 0.0000 0.0000
Pr1 Pr 0.0000 0.0000 0.5000
Er1 Er 0.0000 0.0000 0.2506
Hg1 Hg 0.0000 0.0000 0.1241
Hg2 Hg 0.0000 0.0000 0.3742

# 3
# CePrErHg GGA-PBE optimized geometry
# Crystal system = cubic
# Formation energy = 0.014 eV/atom
# Total moment = 2.45 μB/f.u.
data_CePrErHg
_space_group_name_H-M_alt 'F -4 3 m'
_space_group_IT_number 216
_space_group_name_Hall 'F -4 2 3'
_cell_length_a 7.6429
_cell_length_b 7.6429
_cell_length_c 7.6429
_cell_angle_alpha 90.00
_cell_angle_beta 90.00
_cell_angle_gamma 90.00
loop_
_atom_site_label
_atom_site_type_symbol
_atom_site_fract_x
_atom_site_fract_y
_atom_site_fract_z
Ce1 Ce 0.0000 0.0000 0.0000
Pr1 Pr 0.2500 0.2500 0.2500
Er1 Er 0.2500 0.2500 0.7500
Hg1 Hg 0.0000 0.0000 0.5000

# 4
# CeErHgRu GGA-PBE optimized geometry
# Crystal system = tetragonal
# Relative energy among the computed polymorphs = 0.0000 eV/atom
# Formation energy = -0.428 eV/atom
# Total moment = 0.00 μB/f.u.
data_CeErHgRu
_space_group_name_H-M_alt 'P 4 m m'
_space_group_IT_number 99
_cell_length_a 3.3812
_cell_length_b 3.3812
_cell_length_c 8.0222
_cell_angle_alpha 90.00
_cell_angle_beta 90.00
_cell_angle_gamma 90.00
loop_
_space_group_symop_operation_xyz
'x,y,z'
'-y,x,z'
'-x,-y,z'
'y,-x,z'
'-x,y,z'
'y,x,z'
'x,-y,z'
'-y,-x,z'
loop_
_atom_site_label
_atom_site_type_symbol
_atom_site_fract_x
_atom_site_fract_y
_atom_site_fract_z
Ce1 Ce 0.0000 0.0000 0.0000
Er1 Er 0.0000 0.0000 0.5702
Hg1 Hg 0.5000 0.5000 0.3000
Ru1 Ru 0.5000 0.5000 0.7821

# 5
# CeErHgRu GGA-PBE optimized geometry
# Crystal system = cubic
# Relative energy among the computed polymorphs = 0.1440 eV/atom
# Formation energy = -0.284 eV/atom
# Total moment = 0.29 μB/f.u.
data_CeErHgRu
_space_group_name_H-M_alt 'F -4 3 m'
_space_group_IT_number 216
_space_group_name_Hall 'F -4 2 3'
_cell_length_a 7.1648
_cell_length_b 7.1648
_cell_length_c 7.1648
_cell_angle_alpha 90.00
_cell_angle_beta 90.00
_cell_angle_gamma 90.00
loop_
_atom_site_label
_atom_site_type_symbol
_atom_site_fract_x
_atom_site_fract_y
_atom_site_fract_z
Ce1 Ce 0.0000 0.0000 0.0000
Er1 Er 0.0000 0.0000 0.5000
Hg1 Hg 0.2500 0.2500 0.7500
Ru1 Ru 0.2500 0.2500 0.2500

# 6
# CeErHgSb GGA-PBE optimized geometry
# Crystal system = cubic
# ΔE_f (raw) = -54.61 kJ per mole of atoms
# Total moment = 1.46 μB/f.u.
data_CeErHgSb
_space_group_name_H-M_alt 'F -4 3 m'
_space_group_IT_number 216
_space_group_name_Hall 'F -4 2 3'
_cell_length_a 7.5495
_cell_length_b 7.5495
_cell_length_c 7.5495
_cell_angle_alpha 90.00
_cell_angle_beta 90.00
_cell_angle_gamma 90.00
loop_
_atom_site_label
_atom_site_type_symbol
_atom_site_fract_x
_atom_site_fract_y
_atom_site_fract_z
Ce1 Ce 0.0000 0.0000 0.0000
Er1 Er 0.0000 0.0000 0.5000
Hg1 Hg 0.2500 0.2500 0.7500
Sb1 Sb 0.2500 0.2500 0.2500